1.
# HgAs2W

A relaxed structure of HgAs2W (PBE, Alexandria via LeMat-Bulk).

Cell and atoms, written as CIF:
```
data_HgAs2W
_symmetry_space_group_name_H-M 'P 1'
_symmetry_Int_Tables_number 1
_symmetry_space_group_name_Hall 'P 1'
_cell_length_a 3.0827
_cell_length_b 3.0831
_cell_length_c 10.2135
_cell_angle_alpha 90.00
_cell_angle_beta 90.00
_cell_angle_gamma 90.00
loop_
_atom_site_label
_atom_site_type_symbol
_atom_site_fract_x
_atom_site_fract_y
_atom_site_fract_z
As1 As 0.0000 0.0000 0.8301
As2 As 0.5000 0.5000 0.2021
W1 W 0.5000 0.5000 0.9663
Hg1 Hg 0.0000 0.0000 0.5015
```

ΔH_f (0 K): 0.33 eV per atom
Crystal system: tetragonal

2.
# HgAs4W

A relaxed structure of HgAs4W (PBE, Alexandria via LeMat-Bulk).

Cell and atoms, written as CIF:
```
data_HgAs4W
_symmetry_space_group_name_H-M 'P 1'
_symmetry_Int_Tables_number 1
_symmetry_space_group_name_Hall 'P 1'
_cell_length_a 5.4869
_cell_length_b 5.4869
_cell_length_c 5.4869
_cell_angle_alpha 60.00
_cell_angle_beta 60.00
_cell_angle_gamma 60.00
loop_
_atom_site_label
_atom_site_type_symbol
_atom_site_fract_x
_atom_site_fract_y
_atom_site_fract_z
As1 As 0.3735 0.3735 0.3735
Hg1 Hg 0.7500 0.7500 0.7500
As2 As 0.3735 0.3735 0.8795
W1 W 0.0000 0.0000 0.0000
As3 As 0.8795 0.3735 0.3735
As4 As 0.3735 0.8795 0.3735
```

ΔH_f (0 K): 0.96 eV per atom
Crystal system: cubic

3.
# HgAsW2

A relaxed structure of HgAsW2 (PBE, Alexandria via LeMat-Bulk).

Cell and atoms, written as CIF:
```
data_HgAsW2
_symmetry_space_group_name_H-M 'P 1'
_symmetry_Int_Tables_number 1
_symmetry_space_group_name_Hall 'P 1'
_cell_length_a 3.2107
_cell_length_b 3.2107
_cell_length_c 7.2375
_cell_angle_alpha 90.00
_cell_angle_beta 90.00
_cell_angle_gamma 90.00
loop_
_atom_site_label
_atom_site_type_symbol
_atom_site_fract_x
_atom_site_fract_y
_atom_site_fract_z
Hg1 Hg 0.5000 0.5000 0.7700
W1 W 0.5000 0.5000 0.2456
W2 W 0.0000 0.0000 0.0432
As1 As 0.0000 0.0000 0.4412
```

Excess energy over the best structure of this formula in the dataset: 0.06 eV/f.u.
ΔH_f (0 K): 0.41 eV per atom
Crystal system: tetragonal